DFT (GGA-PBE) results for an optimized crystal structure of Ba5DySb4.

Energy relative to the elements, uncorrected in kJ/mol of atoms: -83
Energy in eV/atom: -3.93

Unit cell a=22.3197 b=4.9390 c=9.1035 alpha=90.00 beta=113.98 gamma=90.00
Space group C2/m (No. 12)
Asymmetric unit:
Ba1 0.0000 0.0000 0.0000
Ba2 0.1651 0.5000 0.4151
Ba3 0.1650 0.5000 0.9158
Dy1 0.0000 0.0000 0.5000
Sb1 0.0001 0.5000 0.2753
Sb2 0.1894 0.0000 0.6897